(1)
# Mn2OF

A relaxed Mn2OF crystal (GGA+U, Alexandria via LeMat-Bulk).

```
Mn2OF
1.0
3.369 -0.063 0.063
-0.089 5.269 0.321
0.123 0.448 7.130
Mn O F
4 2 2
Direct
0.710 0.616 0.237
0.756 0.602 0.732
0.244 0.981 0.479
0.195 0.166 0.013
0.225 0.852 0.213
0.706 0.405 0.999
0.023 0.994 0.774
0.748 0.250 0.416
```

Summary:
V = 15.7 A^3/atom
Calculated total energy = -55.7 eV/cell

=====

(2)
# Mn12O7F17

A relaxed Mn12O7F17 crystal (GGA+U, Alexandria via LeMat-Bulk).

```
Mn12O7F17
1.0
4.766 -0.031 -0.032
0.175 5.770 -0.001
0.135 0.162 15.818
Mn O F
12 7 17
Direct
0.948 0.160 0.590
0.003 0.826 0.753
0.042 0.173 0.919
0.966 0.173 0.248
0.001 0.870 0.413
0.977 0.857 0.090
0.532 0.324 0.421
0.495 0.361 0.084
0.505 0.337 0.747
0.482 0.637 0.912
0.493 0.649 0.579
0.538 0.660 0.247
0.759 0.114 0.693
0.791 0.096 0.363
0.772 0.886 0.188
0.715 0.373 0.534
0.706 0.403 0.188
0.308 0.391 0.975
0.288 0.582 0.806
0.772 0.114 0.032
0.766 0.871 0.869
0.768 0.887 0.521
0.757 0.372 0.853
0.722 0.608 0.692
0.771 0.621 0.364
0.730 0.638 0.026
0.237 0.383 0.641
0.257 0.636 0.464
0.233 0.627 0.138
0.297 0.400 0.306
0.263 0.087 0.806
0.204 0.115 0.479
0.210 0.893 0.633
0.215 0.877 0.986
0.221 0.114 0.135
0.256 0.885 0.307
```

Summary:
V = 12.1 A^3/atom
Calculated total energy = -231.4 eV/cell

=====

(3)
# Mn8O13F3

A relaxed Mn8O13F3 crystal (GGA+U, Alexandria via LeMat-Bulk).

```
Mn8O13F3
1.0
-4.655 -3.445 3.388
0.950 -4.656 -4.778
5.732 1.524 3.720
Mn O F
8 13 3
Direct
0.549 0.301 0.847
0.938 0.200 0.147
0.450 0.680 0.643
0.051 0.798 0.348
0.946 0.192 0.643
0.565 0.304 0.360
0.037 0.786 0.831
0.427 0.696 0.139
0.990 0.906 0.617
0.477 0.396 0.607
0.853 0.280 0.894
0.789 0.866 0.889
0.652 0.233 0.115
0.878 0.448 0.605
0.121 0.538 0.390
0.615 0.040 0.392
0.348 0.771 0.885
0.286 0.370 0.890
0.150 0.738 0.112
0.528 0.601 0.391
0.027 0.104 0.390
0.699 0.652 0.119
0.405 0.950 0.621
0.218 0.148 0.124
```

Summary:
V = 10.4 A^3/atom
Calculated total energy = -166.1 eV/cell